An optimized crystal structure of La2PrSmSe3O4, computed with PBE.

Results
space group: Amm2 (38)
energy: -7.327 eV per atom
crystal system: orthorhombic

a = 8.4987 Å, b = 6.8026 Å, c = 6.8026 Å
α = 34.64°, β = 90.00°, γ = 90.00°
Element x y z (fractional)
La  0.2369  0.6841  0.6841
La  0.7631  0.6841  0.6841
O  0.2405  0.0867  0.0867
O  0.7595  0.0867  0.0867
O  0.0000  0.5860  0.5860
O  0.5000  0.6148  0.6148
Pr  0.5000  0.0145  0.0145
Se  0.0000  0.3188  0.3188
Se  0.3511  0.3582  0.3582
Se  0.6489  0.3582  0.3582
Sm  0.0000  0.0025  0.0025